[1]
{"formula": "PuNbOsRu", "functional": "PBE-GGA", "state": "relaxed", "ef_mev_per_atom": -40, "lattice": [[4.6372, 0.0000, 0.0000], [2.3186, 4.0159, 0.0000], [2.3186, 1.3386, 3.7863]], "species": ["Ru", "Nb", "Os", "Pu"], "frac_coords": [[0.2500, 0.2500, 0.2500], [0.0000, 0.0000, 0.0000], [0.7500, 0.7500, 0.7500], [0.5000, 0.5000, 0.5000]]}

=====

[2]
{"formula": "PuNbSi2Os", "functional": "PBE-GGA", "state": "relaxed", "formation_energy_uncorrected_mev_per_atom": -484, "lattice": [[-2.2834, -2.9763, -1.3857], [0.2892, -1.8637, 3.5264], [-3.5352, 5.0716, 0.7028]], "species": ["Pu", "Nb", "Si", "Si", "Os"], "frac_coords": [[0.0000, 0.0000, 0.0000], [0.2500, 0.7500, 0.5000], [0.6073, 0.6073, 0.2147], [0.3927, 0.3927, 0.7853], [0.7500, 0.2500, 0.5000]]}

=====

[3]
{"formula": "PuTaNbOs", "functional": "PBE-GGA", "state": "relaxed", "ef_mev_per_atom": 100, "lattice": [[4.6590, 0.0000, 0.0000], [2.3295, 4.0348, 0.0000], [2.3295, 1.3449, 3.8040]], "species": ["Nb", "Ta", "Os", "Pu"], "frac_coords": [[0.5000, 0.5000, 0.5000], [0.0000, 0.0000, 0.0000], [0.2500, 0.2500, 0.2500], [0.7500, 0.7500, 0.7500]]}

=====

[4]
{"formula": "PuZrNbOs", "functional": "PBE-GGA", "state": "relaxed", "ef_mev_per_atom": 58, "lattice": [[4.7355, 0.0000, 0.0000], [2.3678, 4.1011, 0.0000], [2.3678, 1.3670, 3.8665]], "species": ["Nb", "Os", "Zr", "Pu"], "frac_coords": [[0.0000, 0.0000, 0.0000], [0.7500, 0.7500, 0.7500], [0.5000, 0.5000, 0.5000], [0.2500, 0.2500, 0.2500]]}

=====

[5]
{"formula": "RbNbOs2", "functional": "PBE-GGA", "state": "relaxed", "ef_mev_per_atom": 1592, "de_polymorph_ev_per_fu": 0.27, "lattice": [[0.2071, -4.4465, 1.5388], [-3.6077, -2.9284, -0.7688], [0.4528, -3.5377, -3.0760]], "species": ["Nb", "Os", "Os", "Rb"], "frac_coords": [[0.5000, 0.5000, 0.5000], [0.2500, 0.2500, 0.2500], [0.7500, 0.7500, 0.7500], [0.0000, 0.0000, 0.0000]]}

=====

[6]
{"formula": "RbNb2Os", "functional": "PBE-GGA", "state": "relaxed", "ef_mev_per_atom": 1303, "de_polymorph_ev_per_fu": 0.00, "lattice": [[0.0000, 3.3614, 3.3614], [3.3614, 0.0000, 3.3614], [3.3614, 3.3614, 0.0000]], "species": ["Nb", "Nb", "Os", "Rb"], "frac_coords": [[0.2500, 0.2500, 0.2500], [0.7500, 0.7500, 0.7500], [0.5000, 0.5000, 0.5000], [0.0000, 0.0000, 0.0000]]}

=====

[7]
{"formula": "RbNb3Os", "functional": "PBE-GGA", "state": "relaxed", "ef_mev_per_atom": 3083, "de_polymorph_ev_per_fu": 9.01, "lattice": [[4.6869, 0.0000, 0.0000], [0.0000, 4.6869, 0.0000], [0.0000, 0.0000, 4.6869]], "species": ["Nb", "Nb", "Nb", "Os", "Rb"], "frac_coords": [[0.0000, 0.5000, 0.0000], [0.0000, 0.0000, 0.5000], [0.5000, 0.0000, 0.0000], [0.5000, 0.5000, 0.5000], [0.0000, 0.0000, 0.0000]]}

=====

[8]
{"formula": "RbNbOs3", "functional": "PBE-GGA", "state": "relaxed", "ef_mev_per_atom": 2140, "de_polymorph_ev_per_fu": 0.00, "lattice": [[4.9386, 0.0000, 0.0000], [0.0000, 4.9386, 0.0000], [0.0000, 0.0000, 4.9386]], "species": ["Nb", "Os", "Os", "Os", "Rb"], "frac_coords": [[0.0000, 0.0000, 0.0000], [0.0000, 0.5000, 0.0000], [0.0000, 0.0000, 0.5000], [0.5000, 0.0000, 0.0000], [0.5000, 0.5000, 0.5000]]}

=====

[9]
{"formula": "RbNbOs3", "functional": "PBE-GGA", "state": "relaxed", "ef_mev_per_atom": 3778, "de_polymorph_ev_per_fu": 8.19, "lattice": [[4.6460, 0.0000, 0.0000], [0.0000, 4.6460, 0.0000], [0.0000, 0.0000, 4.6460]], "species": ["Nb", "Os", "Os", "Os", "Rb"], "frac_coords": [[0.5000, 0.5000, 0.5000], [0.0000, 0.5000, 0.0000], [0.0000, 0.0000, 0.5000], [0.5000, 0.0000, 0.0000], [0.0000, 0.0000, 0.0000]]}

=====

[10]
{"formula": "RbNb2Os", "functional": "PBE-GGA", "state": "relaxed", "ef_mev_per_atom": 1568, "de_polymorph_ev_per_fu": 1.06, "lattice": [[-2.7324, 2.6476, -3.8097], [-4.1948, 0.4787, 3.3413], [-0.2972, 9.0150, 2.6734]], "species": ["Nb", "Nb", "Nb", "Nb", "Os", "Os", "Rb", "Rb"], "frac_coords": [[0.8751, 0.1250, 0.2500], [0.8749, 0.6250, 0.2500], [0.3750, 0.1249, 0.7500], [0.8750, 0.1251, 0.7500], [0.0000, 0.0000, 0.0000], [0.7500, 0.2500, 0.5000], [0.5000, 0.5000, 0.0000], [0.2500, 0.7500, 0.5000]]}

=====

[11]
{"formula": "RbNbOs2", "functional": "PBE-GGA", "state": "relaxed", "ef_mev_per_atom": 1525, "de_polymorph_ev_per_fu": 0.00, "lattice": [[5.0906, 0.0000, 0.0000], [0.0000, 5.0906, 0.0000], [2.5453, 2.5453, 8.7030]], "species": ["Nb", "Nb", "Os", "Os", "Os", "Os", "Rb", "Rb"], "frac_coords": [[0.0000, 0.0000, 0.0000], [0.7500, 0.2500, 0.5000], [0.8747, 0.1250, 0.2500], [0.8753, 0.6250, 0.2500], [0.3750, 0.1253, 0.7500], [0.8750, 0.1247, 0.7500], [0.5000, 0.5000, 0.0000], [0.2500, 0.7500, 0.5000]]}

=====

[12]
{"formula": "RbNb3Os", "functional": "PBE-GGA", "state": "relaxed", "ef_mev_per_atom": 1281, "de_polymorph_ev_per_fu": 0.00, "lattice": [[5.0351, 0.0000, 0.0000], [0.0000, 5.0351, 0.0000], [0.0000, 0.0000, 5.0351]], "species": ["Nb", "Nb", "Nb", "Os", "Rb"], "frac_coords": [[0.0000, 0.5000, 0.0000], [0.0000, 0.0000, 0.5000], [0.5000, 0.0000, 0.0000], [0.0000, 0.0000, 0.0000], [0.5000, 0.5000, 0.5000]]}